A geometry-optimized CsLi2RuCl8 structure. Source: Alexandria via LeMat-Bulk, functional GGA-PBE.

Cell: 6.2364 7.1033 9.6919 Å, 56.05 87.71 93.68°
Fractional positions:
Ru 0.0000 0.0000 0.0000
Cs 0.0000 0.0000 0.5000
Cl 0.9105 0.2849 0.7323
Cl 0.1964 0.2739 0.0114
Cl 0.4803 0.6913 0.5659
Cl 0.0895 0.7151 0.2677
Cl 0.3030 0.9499 0.8779
Cl 0.5197 0.3087 0.4341
Cl 0.6970 0.0501 0.1221
Cl 0.8036 0.7261 0.9886
Li 0.4774 0.6858 0.3277
Li 0.5226 0.3142 0.6723

Computed properties:
Energy, eV/atom: -3.52
V, Å³ per atom: 29.492
Space group: P-1, No. 2



A geometry-optimized Cs2LiSCl structure. Source: Alexandria via LeMat-Bulk, functional GGA-PBE.

Cell: 6.7594 6.7594 4.4948 Å, 90.00 90.00 90.00°
Fractional positions:
Cs 0.0000 0.5000 0.0000
Cs 0.5000 0.0000 0.0000
Li 0.0000 0.0000 0.5000
Cl 0.5000 0.5000 0.5000
S 0.0000 0.0000 0.0000

Computed properties:
Energy, eV/atom: -3.25
V, Å³ per atom: 41.072
Space group: P4/mmm, No. 123